Here is crystalline CsPuNb at its relaxed geometry from OQMD. Energies are from PBE.

Output
space group: No. 216
total energy: -19.55 eV per cell

Cell lengths 5.1367, 5.1367, 5.1367 Å; angles 60.00, 60.00, 60.00 degrees
Positions (direct):
Cs  0.5000  0.5000  0.5000
Nb  0.2500  0.2500  0.2500
Pu  0.0000  0.0000  0.0000

***

Here is crystalline Ta3InSb5 at its relaxed geometry from OQMD. Energies are from PBE.

Output
space group: No. 191
total energy: -58.84 eV per cell

Cell lengths 5.7500, 5.7500, 8.6892 Å; angles 90.00, 90.00, 120.00 degrees
Positions (direct):
In  0.0000  0.0000  0.0000
Sb  0.6667  0.3333  0.2222
Sb  0.3333  0.6667  0.2222
Sb  0.0000  0.0000  0.5000
Sb  0.6667  0.3333  0.7778
Sb  0.3333  0.6667  0.7778
Ta  0.5000  0.0000  0.5000
Ta  0.0000  0.5000  0.5000
Ta  0.5000  0.5000  0.5000

***

Here is crystalline SrLuInTe3 at its relaxed geometry from OQMD. Energies are from PBE.

Output
space group: No. 63
total energy: -47.75 eV per cell

Cell lengths 8.1067, 8.1067, 11.0565 Å; angles 90.00, 90.00, 148.42 degrees
Positions (direct):
In  0.0218  0.9782  0.2500
In  0.9782  0.0218  0.7500
Lu  0.5000  0.5000  0.0000
Lu  0.5000  0.5000  0.5000
Sr  0.7261  0.2739  0.2500
Sr  0.2739  0.7261  0.7500
Te  0.1417  0.8583  0.0325
Te  0.3879  0.6121  0.2500
Te  0.1417  0.8583  0.4675
Te  0.8583  0.1417  0.5325
Te  0.6121  0.3879  0.7500
Te  0.8583  0.1417  0.9675

***

Here is crystalline GdHoCo at its relaxed geometry from OQMD. Energies are from PBE.

Output
formation energy: -50 meV/atom
space group: No. 216
total energy: -16.49 eV per cell
energy above the most stable polymorph in this dataset: 0 meV/atom

Cell lengths 4.6818, 4.6818, 4.6818 Å; angles 60.00, 60.00, 60.00 degrees
Positions (direct):
Co  0.0000  0.0000  0.0000
Gd  0.2500  0.2500  0.2500
Ho  0.7500  0.7500  0.7500

***

Here is crystalline Al3AgS at its relaxed geometry from OQMD. Energies are from PBE.

Output
space group: No. 221
total energy: -16.05 eV per cell

Cell lengths 4.7129, 4.7129, 4.7129 Å; angles 90.00, 90.00, 90.00 degrees
Positions (direct):
Ag  0.0000  0.0000  0.0000
Al  0.5000  0.5000  0.0000
Al  0.5000  0.0000  0.5000
Al  0.0000  0.5000  0.5000
S  0.5000  0.5000  0.5000

***

Here is crystalline Mg3Sc3Pd2Au at its relaxed geometry from OQMD. Energies are from PBE.

Output
space group: No. 189
total energy: -42.71 eV per cell

Cell lengths 7.2452, 7.2452, 3.8937 Å; angles 90.00, 90.00, 120.00 degrees
Positions (direct):
Au  0.0000  0.0000  0.5000
Mg  0.2586  0.0000  0.0000
Mg  0.0000  0.2586  0.0000
Mg  0.7414  0.7414  0.0000
Pd  0.6667  0.3333  0.0000
Pd  0.3333  0.6667  0.0000
Sc  0.5887  0.0000  0.5000
Sc  0.4113  0.4113  0.5000
Sc  0.0000  0.5887  0.5000

***

Here is crystalline NdGdSi4Os2 at its relaxed geometry from OQMD. Energies are from PBE.

Output
space group: No. 6
total energy: -59.50 eV per cell

Cell lengths 4.4627, 4.1294, 8.2098 Å; angles 90.00, 101.89, 90.00 degrees
Positions (direct):
Gd  0.5920  0.5000  0.7040
Nd  0.4109  0.0000  0.3000
Os  0.8819  0.5000  0.1128
Os  0.1165  0.0000  0.8850
Si  0.3343  0.5000  0.0032
Si  0.9613  0.5000  0.4097
Si  0.0384  0.0000  0.5917
Si  0.6647  0.0000  0.9936

***

Here is crystalline NaCuTcSe3 at its relaxed geometry from OQMD. Energies are from PBE.

Output
space group: No. 11
total energy: -56.71 eV per cell
energy above the most stable polymorph in this dataset: 0 meV/atom

Cell lengths 7.3876, 3.7154, 9.4255 Å; angles 90.00, 108.19, 90.00 degrees
Positions (direct):
Cu  0.9224  0.7500  0.3931
Cu  0.0776  0.2500  0.6069
Na  0.2654  0.2500  0.2884
Na  0.7346  0.7500  0.7116
Se  0.4438  0.7500  0.1166
Se  0.9096  0.7500  0.1409
Se  0.7342  0.2500  0.4490
Se  0.2658  0.7500  0.5510
Se  0.0904  0.2500  0.8591
Se  0.5562  0.2500  0.8834
Tc  0.6921  0.2500  0.1747
Tc  0.3079  0.7500  0.8253